Arrangement a

Crystalline ZrBWSe at its relaxed geometry. Source: Alexandria, functional PBE-GGA.

M_tot = 0.0000 μB/atom
calculated density = 9.62 g cm⁻³
density of states at the Fermi level = 0.50 states/eV per atom

abc: 3.4236 3.4236 18.6169
angles: 90.00 90.00 120.00
Space group R3m (No. 160, hexagonal axes)
One atom of each set of equivalent atoms:
Zr (0.0000, 0.0000, 0.0000) (multiplicity 3)
B (0.0000, 0.0000, 0.4060) (multiplicity 3)
W (0.0000, 0.0000, 0.7936) (multiplicity 3)
Se (0.0000, 0.0000, 0.2252) (multiplicity 3)

=====

Arrangement b

Crystalline ZrBWSe at its relaxed geometry. Source: Alexandria, functional PBE-GGA.

M_tot = 0.0000 μB/atom
calculated density = 8.82 g cm⁻³
density of states at the Fermi level = 0.77 states/eV per atom

abc: 5.921 3.425 7.057
angles: 90.00 106.30 90.00
Space group Cm (No. 8)
One atom of each set of equivalent atoms:
Zr (0.000, 0.000, 0.000) (multiplicity 2)
B (0.261, 0.000, 0.782) (multiplicity 2)
W (0.050, 0.500, 0.648) (multiplicity 2)
Se (0.425, 0.000, 0.275) (multiplicity 2)

=====

Best to worst by energy: arrangement a, arrangement b.

=====

Arrangement a

Crystalline ZrBWSe at its relaxed geometry. Source: Alexandria, functional PBE-GGA.

M_tot = 0.0000 μB/atom
calculated density = 9.36 g cm⁻³
density of states at the Fermi level = 0.76 states/eV per atom

abc: 8.696 3.273 5.707
angles: 90.00 127.13 90.00
Space group Cm (No. 8)
One atom of each set of equivalent atoms:
Zr (0.000, 0.000, 0.000) (multiplicity 2)
B (0.248, 0.000, 0.868) (multiplicity 2)
W (0.061, 0.500, 0.569) (multiplicity 2)
Se (0.288, 0.500, 0.422) (multiplicity 2)

=====

Arrangement b

Crystalline ZrBWSe at its relaxed geometry. Source: Alexandria, functional PBE-GGA.

M_tot = 0.0000 μB/atom
calculated density = 9.71 g cm⁻³
density of states at the Fermi level = 0.59 states/eV per atom

abc: 5.880 3.391 6.562
angles: 90.00 107.51 90.00
Space group Cm (No. 8)
One atom of each set of equivalent atoms:
Zr (0.000, 0.000, 0.000) (multiplicity 2)
B (0.094, 0.500, 0.785) (multiplicity 2)
W (0.202, 0.000, 0.609) (multiplicity 2)
Se (0.438, 0.000, 0.317) (multiplicity 2)

=====

Best to worst by energy: arrangement b, arrangement a.

=====

Arrangement a

Crystalline ZrBWSe at its relaxed geometry. Source: Alexandria, functional PBE-GGA.

M_tot = 0.0000 μB/atom
calculated density = 9.55 g cm⁻³
density of states at the Fermi level = 0.60 states/eV per atom

abc: 3.250 3.266 11.951
angles: 90.00 90.00 90.00
Space group Imm2 (No. 44)
One atom of each set of equivalent atoms:
Zr (0.000, 0.000, 0.000) (multiplicity 2)
B (0.000, 0.500, 0.840) (multiplicity 2)
W (0.000, 0.500, 0.291) (multiplicity 2)
Se (0.000, 0.000, 0.618) (multiplicity 2)

=====

Arrangement b

Crystalline ZrBWSe at its relaxed geometry. Source: Alexandria, functional PBE-GGA.

M_tot = 0.0000 μB/atom
calculated density = 9.00 g cm⁻³
density of states at the Fermi level = 0.66 states/eV per atom

abc: 5.743 3.317 7.338
angles: 90.00 105.70 90.00
Space group Cm (No. 8)
One atom of each set of equivalent atoms:
Zr (0.000, 0.000, 0.000) (multiplicity 2)
B (0.234, 0.500, 0.194) (multiplicity 2)
W (0.457, 0.000, 0.359) (multiplicity 2)
Se (0.377, 0.500, 0.607) (multiplicity 2)

=====

Best to worst by energy: arrangement b, arrangement a.

=====

Arrangement a

Crystalline ZrBWSe at its relaxed geometry. Source: Alexandria, functional PBE-GGA.

M_tot = 0.0001 μB/atom
calculated density = 9.55 g cm⁻³
density of states at the Fermi level = 0.94 states/eV per atom

abc: 3.199 3.295 6.021
angles: 90.00 90.00 90.00
Space group Pmm2 (No. 25)
One atom of each set of equivalent atoms:
Zr (0.000, 0.000, 0.000) (multiplicity 1)
B (0.500, 0.000, 0.683) (multiplicity 1)
W (0.000, 0.500, 0.587) (multiplicity 1)
Se (0.500, 0.500, 0.244) (multiplicity 1)

=====

Arrangement b

Crystalline ZrBWSe at its relaxed geometry. Source: Alexandria, functional PBE-GGA.

M_tot = 0.0000 μB/atom
calculated density = 9.35 g cm⁻³
density of states at the Fermi level = 0.62 states/eV per atom

abc: 4.245 3.478 8.776
angles: 90.00 90.00 90.00
Space group Amm2 (No. 38)
One atom of each set of equivalent atoms:
Zr (0.000, 0.000, 0.000) (multiplicity 2)
B (0.000, 0.000, 0.704) (multiplicity 2)
W (0.500, 0.000, 0.697) (multiplicity 2)
Se (0.500, 0.000, 0.409) (multiplicity 2)

=====

Arrangement c

Crystalline ZrBWSe at its relaxed geometry. Source: Alexandria, functional PBE-GGA.

M_tot = 0.0000 μB/atom
calculated density = 8.86 g cm⁻³
density of states at the Fermi level = 0.82 states/eV per atom

abc: 3.4155 3.4155 6.7672
angles: 90.00 90.00 120.00
Space group P3m1 (No. 156)
One atom of each set of equivalent atoms:
Zr (0.0000, 0.0000, 0.0000) (multiplicity 1)
B (0.3333, 0.6667, 0.7900) (multiplicity 1)
W (0.6667, 0.3333, 0.6466) (multiplicity 1)
Se (0.6667, 0.3333, 0.2776) (multiplicity 1)

=====

Best to worst by energy: arrangement c, arrangement a, arrangement b.

=====

Arrangement a

Crystalline Y2B2Se at its relaxed geometry. Source: Alexandria, functional PBE-GGA.

M_tot = 0.0000 μB/atom
calculated density = 4.49 g cm⁻³
density of states at the Fermi level = 0.61 states/eV per atom

abc: 7.427 7.427 3.733
angles: 90.00 90.00 90.00
Space group P4/mbm (No. 127)
One atom of each set of equivalent atoms:
Y (0.179, 0.321, 0.000) (multiplicity 4)
B (0.074, 0.574, 0.500) (multiplicity 4)
Se (0.000, 0.000, 0.000) (multiplicity 2)

=====

Arrangement b

Crystalline Y2B2Se at its relaxed geometry. Source: Alexandria, functional PBE-GGA.

M_tot = 0.0005 μB/atom
calculated density = 5.03 g cm⁻³
density of states at the Fermi level = 0.77 states/eV per atom

abc: 3.501 3.501 15.008
angles: 90.00 90.00 90.00
Space group I4/mmm (No. 139)
One atom of each set of equivalent atoms:
Y (0.000, 0.000, 0.123) (multiplicity 4)
B (0.000, 0.500, 0.250) (multiplicity 4)
Se (0.000, 0.000, 0.500) (multiplicity 2)

=====

Best to worst by energy: arrangement a, arrangement b.

=====

Arrangement a

Crystalline Zn2BSe at its relaxed geometry. Source: Alexandria, functional PBE-GGA.

M_tot = 0.0000 μB/atom
calculated density = 4.94 g cm⁻³
density of states at the Fermi level = 0.39 states/eV per atom

abc: 5.665 5.665 9.244
angles: 90.00 90.00 90.00
Space group I-42d (No. 122)
One atom of each set of equivalent atoms:
Zn (0.199, 0.250, 0.125) (multiplicity 8)
B (0.000, 0.000, 0.000) (multiplicity 4)
Se (0.000, 0.000, 0.500) (multiplicity 4)

=====

Arrangement b

Crystalline Zn2BSe at its relaxed geometry. Source: Alexandria, functional PBE-GGA.

M_tot = 0.0000 μB/atom
calculated density = 5.88 g cm⁻³
density of states at the Fermi level = 0.54 states/eV per atom

abc: 6.294 6.294 6.294
angles: 90.00 90.00 90.00
Space group Fm-3m (No. 225)
One atom of each set of equivalent atoms:
Zn (0.250, 0.250, 0.250) (multiplicity 8)
B (0.000, 0.000, 0.000) (multiplicity 4)
Se (0.000, 0.000, 0.500) (multiplicity 4)

=====

Best to worst by energy: arrangement a, arrangement b.